# NiOs3Ru (PBE-GGA, optimized geometry)
# ΔE to the lowest computed polymorph = 0.564 eV per atom
# formation enthalpy at 0 K = 2.555 eV/atom
data_NiOs3Ru
_space_group_name_H-M_alt 'P m -3 m'
_space_group_IT_number 221
_space_group_name_Hall '-P 4 2 3'
_cell_length_a 4.628
_cell_length_b 4.628
_cell_length_c 4.628
_cell_angle_alpha 90.00
_cell_angle_beta 90.00
_cell_angle_gamma 90.00
loop_
_atom_site_label
_atom_site_fract_x
_atom_site_fract_y
_atom_site_fract_z
Ni1 0.000 0.000 0.000
Os1 0.000 0.500 0.500
Ru1 0.500 0.500 0.500

---

# NiOs2Ru (PBE-GGA, optimized geometry)
# ΔE to the lowest computed polymorph = 0.378 eV per atom
# formation enthalpy at 0 K = 0.515 eV/atom
data_NiOs2Ru
_space_group_name_H-M_alt 'C m m m'
_space_group_IT_number 65
_space_group_name_Hall '-C 2 2'
_cell_length_a 2.722
_cell_length_b 4.545
_cell_length_c 9.039
_cell_angle_alpha 90.00
_cell_angle_beta 90.00
_cell_angle_gamma 90.00
loop_
_atom_site_label
_atom_site_fract_x
_atom_site_fract_y
_atom_site_fract_z
Ni1 0.000 0.000 0.000
Os1 0.000 0.500 0.242
Ru1 0.000 0.000 0.500

---

# NiOsRu (PBE-GGA, optimized geometry)
# ΔE to the lowest computed polymorph = 0.110 eV per atom
# formation enthalpy at 0 K = 0.155 eV/atom
data_NiOsRu
_space_group_name_H-M_alt 'P 3 m 1'
_space_group_IT_number 156
_space_group_name_Hall 'P 3 -2"'
_cell_length_a 2.6863
_cell_length_b 2.6863
_cell_length_c 6.4136
_cell_angle_alpha 90.00
_cell_angle_beta 90.00
_cell_angle_gamma 120.00
loop_
_atom_site_label
_atom_site_fract_x
_atom_site_fract_y
_atom_site_fract_z
Ni1 0.0000 0.0000 0.0000
Os1 0.3333 0.6667 0.3318
Ru1 0.6667 0.3333 0.6647

---

# Ni2OsRu (PBE-GGA, optimized geometry)
# ΔE to the lowest computed polymorph = 0.003 eV per atom
# formation enthalpy at 0 K = 0.077 eV/atom
data_Ni2OsRu
_space_group_name_H-M_alt 'P 1'
_space_group_IT_number 1
_space_group_name_Hall 'P 1'
_cell_length_a 4.504
_cell_length_b 4.548
_cell_length_c 5.215
_cell_angle_alpha 73.63
_cell_angle_beta 89.65
_cell_angle_gamma 80.20
loop_
_atom_site_label
_atom_site_fract_x
_atom_site_fract_y
_atom_site_fract_z
Ni1 0.000 0.000 0.000
Ni2 0.000 0.003 0.494
Ni3 0.241 0.504 0.379
Ni4 0.753 0.497 0.618
Os1 0.506 0.999 0.255
Os2 0.744 0.503 0.122
Ru1 0.247 0.494 0.878
Ru2 0.494 0.997 0.744

---

# Ni2OsRu (PBE-GGA, optimized geometry)
# ΔE to the lowest computed polymorph = 0.105 eV per atom
# formation enthalpy at 0 K = 0.179 eV/atom
data_Ni2OsRu
_space_group_name_H-M_alt 'P m m m'
_space_group_IT_number 47
_space_group_name_Hall '-P 2 2'
_cell_length_a 2.630
_cell_length_b 3.697
_cell_length_c 5.178
_cell_angle_alpha 90.00
_cell_angle_beta 90.00
_cell_angle_gamma 90.00
loop_
_atom_site_label
_atom_site_fract_x
_atom_site_fract_y
_atom_site_fract_z
Ni1 0.000 0.000 0.245
Os1 0.500 0.500 0.000
Ru1 0.500 0.500 0.500

---

# Ni2OsRu (PBE-GGA, optimized geometry)
# ΔE to the lowest computed polymorph = 0.276 eV per atom
# formation enthalpy at 0 K = 0.350 eV/atom
data_Ni2OsRu
_space_group_name_H-M_alt 'F -4 3 m'
_space_group_IT_number 216
_space_group_name_Hall 'F -4 2 3'
_cell_length_a 5.911
_cell_length_b 5.911
_cell_length_c 5.911
_cell_angle_alpha 90.00
_cell_angle_beta 90.00
_cell_angle_gamma 90.00
loop_
_atom_site_label
_atom_site_fract_x
_atom_site_fract_y
_atom_site_fract_z
Ni1 0.000 0.000 0.000
Ni2 0.250 0.250 0.250
Os1 0.250 0.250 0.750
Ru1 0.000 0.000 0.500

---

Number 1: theoretical density 12.24 g/cm3. Number 2: theoretical density 16.05 g/cm3. Number 3: theoretical density 14.50 g/cm3. Number 4: theoretical density 13.45 g/cm3. Number 5: theoretical density 13.48 g/cm3. Number 6: theoretical density 13.14 g/cm3.